# 1
Material: VZnMo2H
Method: DFT, PBE-GGA
State: relaxed

The calculation puts the total magnetization at 0.00 Bohr magnetons per cell. The value obtained for the total energy is -35.14 eV for the cell shown.

Cell lengths 4.003, 4.003, 3.811 Å; angles 90.00, 90.00, 90.00 degrees
Space group P4/mmm (No. 123)
Symmetry-distinct sites (fractional):
V: 0.000 0.000 0.000
Zn: 0.500 0.500 0.000
Mo: 0.000 0.500 0.500
H: 0.000 0.000 0.500

=====

# 2
Material: V2ZnMoH
Method: DFT, PBE-GGA
State: relaxed

The calculation puts the total magnetization at 0.00 Bohr magnetons per cell. The value obtained for the total energy is -33.76 eV for the cell shown.

Cell lengths 3.862, 3.862, 3.928 Å; angles 90.00, 90.00, 90.00 degrees
Space group P4/mmm (No. 123)
Symmetry-distinct sites (fractional):
V: 0.000 0.500 0.000
Zn: 0.000 0.000 0.500
Mo: 0.500 0.500 0.500
H: 0.500 0.500 0.000

=====

# 3
Material: Zr2VMoH
Method: DFT, PBE-GGA
State: relaxed

The calculation puts the total magnetization at 1.43 Bohr magnetons per cell. The value obtained for the total energy is -40.53 eV for the cell shown.

Cell lengths 4.676, 4.676, 3.500 Å; angles 90.00, 90.00, 90.00 degrees
Space group P4/mmm (No. 123)
Symmetry-distinct sites (fractional):
Zr: 0.000 0.500 0.000
V: 0.000 0.000 0.500
Mo: 0.500 0.500 0.500
H: 0.000 0.000 0.000

=====

# 4
Material: Mo2H2W
Method: DFT, PBE-GGA
State: relaxed

The calculation puts the total magnetization at 0.00 Bohr magnetons per cell. Its energy above the most stable polymorph in this dataset is 0.0 meV per atom.

Cell lengths 3.144, 3.144, 10.922 Å; angles 90.00, 90.00, 90.00 degrees
Space group I4/mmm (No. 139)
Symmetry-distinct sites (fractional):
Mo: 0.000 0.000 0.146
H: 0.000 0.500 0.250
W: 0.000 0.000 0.500

=====

# 5
Material: MoHW
Method: DFT, PBE-GGA
State: relaxed

The calculation puts the total magnetization at 0.00 Bohr magnetons per cell. The value obtained for the total energy is -105.17 eV for the cell shown.

Cell lengths 4.505, 2.753, 11.098 Å; angles 90.00, 90.00, 90.00 degrees
Space group Pnma (No. 62)
Symmetry-distinct sites (fractional):
Mo: 0.240 0.250 0.190
H: 0.190 0.250 0.561
W: 0.249 0.250 0.926

=====

# 6
Material: MoHW3
Method: DFT, PBE-GGA
State: relaxed

The calculation puts the total magnetization at 0.00 Bohr magnetons per cell. Its energy above the most stable polymorph in this dataset is 2486.2 meV per atom.

Cell lengths 4.745, 4.745, 4.745 Å; angles 90.00, 90.00, 90.00 degrees
Space group Pm-3m (No. 221)
Symmetry-distinct sites (fractional):
Mo: 0.000 0.000 0.000
H: 0.500 0.500 0.500
W: 0.000 0.000 0.500

=====

# 7
Material: MoHW2
Method: DFT, PBE-GGA
State: relaxed

The calculation puts the total magnetization at 0.00 Bohr magnetons per cell. Its energy above the most stable polymorph in this dataset is 0.0 meV per atom.

Cell lengths 5.421, 5.421, 7.684 Å; angles 90.00, 90.00, 90.00 degrees
Space group I4_1/amd (No. 141, origin choice 2)
Symmetry-distinct sites (fractional):
Mo: 0.000 0.250 0.375
H: 0.000 0.250 0.875
W: 0.000 0.000 0.000

=====

# 8
Material: MoHW2
Method: DFT, PBE-GGA
State: relaxed

The calculation puts the total magnetization at 0.00 Bohr magnetons per cell. Its energy above the most stable polymorph in this dataset is 236.6 meV per atom.

Cell lengths 6.099, 6.099, 6.099 Å; angles 90.00, 90.00, 90.00 degrees
Space group Fm-3m (No. 225)
Symmetry-distinct sites (fractional):
Mo: 0.000 0.000 0.000
H: 0.000 0.000 0.500
W: 0.250 0.250 0.250

=====

Question: total magnetization of number 6 (MoHW3)?
Answer: 0.00 Bohr magnetons per cell

=====

What did the sixth record say?
Material: MoHW3
Method: DFT, PBE-GGA
State: relaxed

The calculation puts the total magnetization at 0.00 Bohr magnetons per cell. Its energy above the most stable polymorph in this dataset is 2486.2 meV per atom.

Cell lengths 4.745, 4.745, 4.745 Å; angles 90.00, 90.00, 90.00 degrees
Space group Pm-3m (No. 221)
Symmetry-distinct sites (fractional):
Mo: 0.000 0.000 0.000
H: 0.500 0.500 0.500
W: 0.000 0.000 0.500